First-principles (PBEsol) data for a geometry-optimized SiSnBi2 structure, as listed in the Alexandria database.

For the uncorrected formation energy, the calculation gives 0.238 eV per atom. The calculated total energy is -4.41 eV per atom.

Cell lengths 8.2651, 6.6502, 8.2651 Å; angles 51.58, 90.00, 128.42 degrees
Closest atoms and distances in Å follow each position.
Sites, in units of the cell vectors:
Si 0.2500 0.5000 0.2500  4 Bi 2.88, 2 Sn 3.17
Si 0.5000 0.0000 0.5000  4 Bi 2.88, 2 Sn 3.17
Sn 0.7500 0.5000 0.7500  2 Si 3.17, 4 Bi 3.18
Sn 0.0000 0.0000 0.0000  2 Si 3.17, 4 Bi 3.18
Bi 0.3750 0.2500 0.1515  2 Si 2.88, 2 Sn 3.18, 2 Bi 3.20
Bi 0.1515 0.7500 0.8750  2 Si 2.88, 2 Sn 3.18, 2 Bi 3.20
Bi 0.5985 0.7500 0.3750  2 Si 2.88, 2 Sn 3.18, 2 Bi 3.20
Bi 0.8750 0.2500 0.5985  2 Si 2.88, 2 Sn 3.18, 2 Bi 3.20